# 1
6
Lattice="-3.099 -2.536 -0.498 -0.238 -3.356 2.227 -5.493 2.236 6.439" Properties=species:S:1:pos:R:3 comment="SrSiH (GGA-PBE, relaxed)" space_group="R-3m (166)" rho_g_cm3=3.26 total_magnetization_mub_per_fu=0.00 e_above_lowest_polymorph_mev_per_atom=0.0 pbc="T T T"
Sr -1.439 -0.135 1.470
H -3.202 -4.504 2.006
H -5.626 0.850 6.162
Sr -7.390 -3.520 6.698
Si -3.674 -1.022 3.550
Si -5.155 -2.633 4.619

***

# 2
20
Lattice="3.230 0.000 0.000 0.000 9.661 0.000 0.000 0.000 9.661" Properties=species:S:1:pos:R:3 comment="Dy2InB2Rh5 (GGA-PBE, relaxed)" space_group="P4/mbm (127)" formation_energy_mev_per_atom=-794 rho_g_cm3=10.75 total_magnetization_mub_per_fu=0.00 pbc="T T T"
Dy 0.000 7.964 6.528
Rh 1.615 2.189 0.682
Rh 1.615 7.473 8.979
Dy 0.000 3.133 7.964
Rh 1.615 0.000 4.831
Rh 1.615 8.979 2.189
Rh 1.615 0.682 7.473
Dy 0.000 6.528 1.698
Rh 1.615 2.642 5.513
B 0.000 1.171 6.002
Rh 1.615 5.513 7.019
Rh 1.615 4.831 0.000
In 0.000 0.000 0.000
In 0.000 4.831 4.831
B 0.000 6.002 8.490
B 0.000 8.490 3.660
B 0.000 3.660 1.171
Dy 0.000 1.698 3.133
Rh 1.615 7.019 4.149
Rh 1.615 4.149 2.642

***

no.,DOS at the Fermi energy (states/eV per cell)
1,1.27
2,6.44